[1]
Here is a geometry-optimized Tm2SnAu structure from Alexandria via LeMat-Bulk. Energies are from GGA-PBE.

Summary:
* DFT formation energy: -0.7714 eV per atom
* raw total energy: -19.3 eV/f.u.

Unit cell a=6.022 b=4.427 c=8.107 alpha=90.00 beta=111.00 gamma=90.00
Element x y z (fractional)
Tm  0.204  0.250  0.438
Tm  0.225  0.250  0.917
Tm  0.775  0.750  0.083
Tm  0.796  0.750  0.562
Sn  0.325  0.750  0.209
Sn  0.675  0.250  0.791
Au  0.322  0.750  0.703
Au  0.678  0.250  0.297

=====

[2]
Here is a geometry-optimized LiPuThOs structure from Alexandria via LeMat-Bulk. Energies are from GGA-PBE.

Summary:
* DFT formation energy: -0.0319 eV per atom
* raw total energy: -35.0 eV/f.u.

Unit cell a=4.975 b=4.975 c=4.975 alpha=60.00 beta=60.00 gamma=60.00
Element x y z (fractional)
Li  0.000  0.000  0.000
Pu  0.250  0.250  0.250
Th  0.750  0.750  0.750
Os  0.500  0.500  0.500

=====

[3]
Here is a geometry-optimized SrIrN2F structure from Alexandria via LeMat-Bulk. Energies are from GGA-PBE.

Summary:
* relative energy among the computed polymorphs: 2.342 eV/atom
* formation energy (no corrections): 1617 meV/atom
* raw total energy: -21.0 eV/f.u.

Unit cell a=4.906 b=4.906 c=4.413 alpha=90.00 beta=90.00 gamma=90.00
Element x y z (fractional)
Sr  0.000  0.000  0.000
Ir  0.500  0.500  0.500
N  0.000  0.500  0.000
N  0.500  0.000  0.000
F  0.000  0.000  0.500

=====

[4]
Here is a geometry-optimized Sr2TmReO6 structure from Alexandria via LeMat-Bulk. Energies are from GGA-PBE.

Summary:
* relative energy among the computed polymorphs: 0.061 eV/atom
* formation energy (no corrections): -2571 meV/atom
* raw total energy: -75.7 eV/f.u.

Unit cell a=5.857 b=5.857 c=4.164 alpha=90.00 beta=90.00 gamma=90.00
Element x y z (fractional)
Sr  0.000  0.500  0.000
Sr  0.500  0.000  0.000
Tm  0.000  0.000  0.500
Re  0.500  0.500  0.500
O  0.000  0.000  0.000
O  0.265  0.265  0.500
O  0.265  0.735  0.500
O  0.500  0.500  0.000
O  0.735  0.265  0.500
O  0.735  0.735  0.500

=====

[5]
Here is a geometry-optimized Hf2Sb2Te structure from Alexandria via LeMat-Bulk. Energies are from GGA-PBE.

Summary:
* relative energy among the computed polymorphs: 0.000 eV/atom
* formation energy (no corrections): -457 meV/atom
* raw total energy: -33.6 eV/f.u.

Unit cell a=7.994 b=7.994 c=3.764 alpha=90.00 beta=90.00 gamma=90.00
Element x y z (fractional)
Hf  0.150  0.350  0.000
Hf  0.350  0.850  0.000
Hf  0.650  0.150  0.000
Hf  0.850  0.650  0.000
Sb  0.143  0.643  0.500
Sb  0.357  0.143  0.500
Sb  0.643  0.857  0.500
Sb  0.857  0.357  0.500
Te  0.000  0.000  0.000
Te  0.500  0.500  0.000

=====

[6]
Here is a geometry-optimized YBr2 structure from Alexandria via LeMat-Bulk. Energies are from GGA-PBE.

Summary:
* formation energy (no corrections): -1372 meV/atom
* raw total energy: -13.9 eV/f.u.

Unit cell a=7.130 b=7.130 c=7.130 alpha=90.00 beta=90.00 gamma=90.00
Element x y z (fractional)
Y  0.000  0.000  0.000
Y  0.000  0.500  0.500
Y  0.500  0.000  0.500
Y  0.500  0.500  0.000
Br  0.151  0.651  0.849
Br  0.151  0.849  0.349
Br  0.349  0.151  0.849
Br  0.349  0.349  0.349
Br  0.651  0.651  0.651
Br  0.651  0.849  0.151
Br  0.849  0.151  0.651
Br  0.849  0.349  0.151

=====

[7]
Here is a geometry-optimized KNa2Li2 structure from Alexandria via LeMat-Bulk. Energies are from GGA-PBE.

Summary:
* relative energy among the computed polymorphs: 0.000 eV/atom
* DFT formation energy: 0.0918 eV per atom
* raw total energy: -7.1 eV/f.u.

Unit cell a=9.818 b=9.818 c=3.724 alpha=90.00 beta=90.00 gamma=90.00
Element x y z (fractional)
K  0.000  0.000  0.000
K  0.500  0.500  0.000
Na  0.129  0.371  0.000
Na  0.371  0.871  0.000
Na  0.629  0.129  0.000
Na  0.871  0.629  0.000
Li  0.163  0.663  0.500
Li  0.337  0.163  0.500
Li  0.663  0.837  0.500
Li  0.837  0.337  0.500

=====

[8]
Here is a geometry-optimized MgAl2Ga3 structure from Alexandria via LeMat-Bulk. Energies are from GGA-PBE.

Summary:
* relative energy among the computed polymorphs: 0.085 eV/atom
* DFT formation energy: 0.0576 eV per atom
* raw total energy: -17.8 eV/f.u.

Unit cell a=6.897 b=6.897 c=5.350 alpha=90.00 beta=90.00 gamma=79.89
Element x y z (fractional)
Mg  0.220  0.780  0.750
Mg  0.780  0.220  0.250
Al  0.357  0.357  0.000
Al  0.357  0.357  0.500
Al  0.643  0.643  0.000
Al  0.643  0.643  0.500
Ga  0.080  0.201  0.750
Ga  0.201  0.080  0.250
Ga  0.303  0.697  0.250
Ga  0.697  0.303  0.750
Ga  0.799  0.920  0.750
Ga  0.920  0.799  0.250

=====

[9]
Here is a geometry-optimized CeMnAl3 structure from Alexandria via LeMat-Bulk. Energies are from GGA-PBE.

Summary:
* DFT formation energy: -0.2701 eV per atom
* raw total energy: -27.7 eV/f.u.

Unit cell a=4.572 b=4.572 c=4.572 alpha=90.00 beta=90.00 gamma=90.00
Element x y z (fractional)
Ce  0.000  0.000  0.000
Mn  0.500  0.500  0.500
Al  0.000  0.500  0.500
Al  0.500  0.000  0.500
Al  0.500  0.500  0.000

=====

[10]
Here is a geometry-optimized Tb2CeDyBi5 structure from Alexandria via LeMat-Bulk. Energies are from GGA-PBE.

Summary:
* DFT formation energy: 0.0701 eV per atom
* raw total energy: -38.6 eV/f.u.

Unit cell a=5.549 b=5.549 c=11.864 alpha=90.00 beta=90.00 gamma=90.00
Element x y z (fractional)
Tb  0.000  0.000  0.230
Tb  0.000  0.000  0.770
Ce  0.500  0.500  0.000
Dy  0.500  0.500  0.500
Bi  0.000  0.000  0.500
Bi  0.000  0.500  0.000
Bi  0.500  0.000  0.000
Bi  0.500  0.500  0.255
Bi  0.500  0.500  0.745

=====

[11]
Here is a geometry-optimized LaCoH structure from Alexandria via LeMat-Bulk. Energies are from GGA-PBE.

Summary:
* relative energy among the computed polymorphs: 0.066 eV/atom
* raw total energy: -16.1 eV/f.u.

Unit cell a=3.693 b=4.094 c=6.835 alpha=90.01 beta=105.63 gamma=90.02
Element x y z (fractional)
La  0.000  0.000  0.000
La  0.257  0.500  0.516
Co  0.569  0.501  0.138
Co  0.676  0.000  0.355
H  0.177  0.000  0.356
H  0.453  0.494  0.894

=====

[12]
Here is a geometry-optimized CrP structure from Alexandria via LeMat-Bulk. Energies are from GGA-PBE.

Summary:
* DFT formation energy: -0.1276 eV per atom
* raw total energy: -15.3 eV/f.u.

Unit cell a=8.676 b=8.676 c=3.073 alpha=90.00 beta=90.00 gamma=90.00
Element x y z (fractional)
Cr  0.000  0.361  0.000
Cr  0.000  0.639  0.000
Cr  0.288  0.288  0.500
Cr  0.288  0.712  0.500
Cr  0.361  0.000  0.000
Cr  0.639  0.000  0.000
Cr  0.712  0.288  0.500
Cr  0.712  0.712  0.500
P  0.000  0.183  0.500
P  0.000  0.817  0.500
P  0.183  0.000  0.500
P  0.230  0.500  0.000
P  0.500  0.230  0.000
P  0.500  0.770  0.000
P  0.770  0.500  0.000
P  0.817  0.000  0.500